A.
{
  "formula": "NaCaLa2Co",
  "functional": "PBE",
  "state": "optimized geometry",
  "crystal_system": "tetragonal",
  "cell": [[-4.018, 2.420, -2.338], [-2.916, -4.320, 0.540], [-1.946, 1.989, 5.403]],
  "species": ["Na", "Ca", "Co", "La", "La"],
  "fractional_positions": [[0.000, 0.000, 0.500], [0.500, 0.500, 0.500], [0.000, 0.000, 0.000], [0.000, 0.500, 0.000], [0.500, 0.000, 0.000]]
}

***

B.
{
  "formula": "NaCaLa2Co",
  "functional": "PBE",
  "state": "optimized geometry",
  "crystal_system": "tetragonal",
  "cell": [[5.333, 0.000, 0.000], [0.000, 5.333, 0.000], [0.000, 0.000, 5.907]],
  "species": ["Na", "Ca", "Co", "La", "La"],
  "fractional_positions": [[0.500, 0.500, 0.500], [0.000, 0.000, 0.500], [0.000, 0.000, 0.000], [0.000, 0.500, 0.000], [0.500, 0.000, 0.000]]
}

***

B wins, 11.5 kJ/mol of atoms ahead of the next structure.